# In2CuPd (PBE, optimized geometry)
data_In2CuPd
_cell_length_a 4.685
_cell_length_b 4.685
_cell_length_c 4.685
_cell_angle_alpha 60.00
_cell_angle_beta 60.00
_cell_angle_gamma 60.00
_space_group_name_H-M_alt 'P 1'
_space_group_IT_number 1
loop_
_space_group_symop_operation_xyz
'x,y,z'
loop_
_atom_site_label
_atom_site_fract_x
_atom_site_fract_y
_atom_site_fract_z
_atom_site_occupancy
In1 0.000 0.000 0.000 1
In2 0.250 0.250 0.250 1
Cu1 0.750 0.750 0.750 1
Pd1 0.500 0.500 0.500 1
# - DFT total energy (eV per atom) = -3.622

=====

# InCuPd2 (PBE, optimized geometry)
data_InCuPd2
_cell_length_a 4.478
_cell_length_b 4.478
_cell_length_c 4.478
_cell_angle_alpha 60.00
_cell_angle_beta 60.00
_cell_angle_gamma 60.00
_space_group_name_H-M_alt 'P 1'
_space_group_IT_number 1
loop_
_space_group_symop_operation_xyz
'x,y,z'
loop_
_atom_site_label
_atom_site_fract_x
_atom_site_fract_y
_atom_site_fract_z
_atom_site_occupancy
In1 0.000 0.000 0.000 1
Cu1 0.750 0.750 0.750 1
Pd1 0.250 0.250 0.250 1
Pd2 0.500 0.500 0.500 1
# - DFT total energy (eV per atom) = -4.491

=====

# InCuPd2 (PBE, optimized geometry)
data_InCuPd2
_cell_length_a 4.333
_cell_length_b 4.333
_cell_length_c 8.353
_cell_angle_alpha 90.00
_cell_angle_beta 90.00
_cell_angle_gamma 120.00
_space_group_name_H-M_alt 'P 1'
_space_group_IT_number 1
loop_
_space_group_symop_operation_xyz
'x,y,z'
loop_
_atom_site_label
_atom_site_fract_x
_atom_site_fract_y
_atom_site_fract_z
_atom_site_occupancy
In1 0.333 0.667 0.250 1
In2 0.667 0.333 0.750 1
Cu1 0.000 0.000 0.000 1
Cu2 0.000 0.000 0.500 1
Pd1 0.333 0.667 0.583 1
Pd2 0.333 0.667 0.917 1
Pd3 0.667 0.333 0.083 1
Pd4 0.667 0.333 0.417 1
# - DFT total energy (eV per atom) = -4.489

=====

# InCu2Pd2 (PBE, optimized geometry)
data_InCu2Pd2
_cell_length_a 6.723
_cell_length_b 6.723
_cell_length_c 6.723
_cell_angle_alpha 149.05
_cell_angle_beta 149.05
_cell_angle_gamma 44.34
_space_group_name_H-M_alt 'P 1'
_space_group_IT_number 1
loop_
_space_group_symop_operation_xyz
'x,y,z'
loop_
_atom_site_label
_atom_site_fract_x
_atom_site_fract_y
_atom_site_fract_z
_atom_site_occupancy
In1 0.000 0.000 0.000 1
Cu1 0.250 0.750 0.500 1
Cu2 0.750 0.250 0.500 1
Pd1 0.394 0.394 0.000 1
Pd2 0.606 0.606 0.000 1
# - DFT total energy (eV per atom) = -4.188

=====

# InCu2Pd (PBE, optimized geometry)
data_InCu2Pd
_cell_length_a 4.480
_cell_length_b 5.527
_cell_length_c 4.867
_cell_angle_alpha 90.00
_cell_angle_beta 90.00
_cell_angle_gamma 90.00
_space_group_name_H-M_alt 'P 1'
_space_group_IT_number 1
loop_
_space_group_symop_operation_xyz
'x,y,z'
loop_
_atom_site_label
_atom_site_fract_x
_atom_site_fract_y
_atom_site_fract_z
_atom_site_occupancy
In1 0.250 0.250 0.162 1
In2 0.750 0.750 0.838 1
Cu1 0.250 0.000 0.652 1
Cu2 0.250 0.500 0.652 1
Cu3 0.750 0.000 0.348 1
Cu4 0.750 0.500 0.348 1
Pd1 0.250 0.750 0.174 1
Pd2 0.750 0.250 0.826 1
# - DFT total energy (eV per atom) = -4.034

=====

# InCuPd2 (PBE, optimized geometry)
data_InCuPd2
_cell_length_a 4.408
_cell_length_b 4.408
_cell_length_c 7.865
_cell_angle_alpha 90.00
_cell_angle_beta 90.00
_cell_angle_gamma 120.00
_space_group_name_H-M_alt 'P 1'
_space_group_IT_number 1
loop_
_space_group_symop_operation_xyz
'x,y,z'
loop_
_atom_site_label
_atom_site_fract_x
_atom_site_fract_y
_atom_site_fract_z
_atom_site_occupancy
In1 0.000 0.000 0.250 1
In2 0.000 0.000 0.750 1
Cu1 0.333 0.667 0.250 1
Cu2 0.667 0.333 0.750 1
Pd1 0.333 0.667 0.579 1
Pd2 0.333 0.667 0.921 1
Pd3 0.667 0.333 0.079 1
Pd4 0.667 0.333 0.421 1
# - DFT total energy (eV per atom) = -4.402

=====

# PrIn2CuPd (PBE, optimized geometry)
data_PrIn2CuPd
_cell_length_a 4.485
_cell_length_b 4.485
_cell_length_c 10.970
_cell_angle_alpha 90.00
_cell_angle_beta 90.00
_cell_angle_gamma 90.00
_space_group_name_H-M_alt 'P 1'
_space_group_IT_number 1
loop_
_space_group_symop_operation_xyz
'x,y,z'
loop_
_atom_site_label
_atom_site_fract_x
_atom_site_fract_y
_atom_site_fract_z
_atom_site_occupancy
Pr1 0.250 0.250 0.247 1
Pr2 0.750 0.750 0.753 1
In1 0.250 0.250 0.864 1
In2 0.250 0.750 0.500 1
In3 0.750 0.250 0.500 1
In4 0.750 0.750 0.136 1
Cu1 0.250 0.250 0.633 1
Cu2 0.750 0.750 0.367 1
Pd1 0.250 0.750 0.000 1
Pd2 0.750 0.250 0.000 1
# - total magnetic moment (μB per cell) = 0.0
# - DFT total energy (eV per atom) = -4.268

=====

# InCuPdPt (PBE, optimized geometry)
data_InCuPdPt
_cell_length_a 4.691
_cell_length_b 4.691
_cell_length_c 4.691
_cell_angle_alpha 127.51
_cell_angle_beta 127.51
_cell_angle_gamma 77.42
_space_group_name_H-M_alt 'P 1'
_space_group_IT_number 1
loop_
_space_group_symop_operation_xyz
'x,y,z'
loop_
_atom_site_label
_atom_site_fract_x
_atom_site_fract_y
_atom_site_fract_z
_atom_site_occupancy
In1 0.000 0.000 0.000 1
Cu1 0.500 0.500 0.000 1
Pd1 0.250 0.750 0.500 1
Pt1 0.750 0.250 0.500 1
# - total magnetic moment (μB per cell) = 0.0
# - DFT total energy (eV per atom) = -4.823

=====

Please write out number 7 again, unchanged.
# PrIn2CuPd (PBE, optimized geometry)
data_PrIn2CuPd
_cell_length_a 4.485
_cell_length_b 4.485
_cell_length_c 10.970
_cell_angle_alpha 90.00
_cell_angle_beta 90.00
_cell_angle_gamma 90.00
_space_group_name_H-M_alt 'P 1'
_space_group_IT_number 1
loop_
_space_group_symop_operation_xyz
'x,y,z'
loop_
_atom_site_label
_atom_site_fract_x
_atom_site_fract_y
_atom_site_fract_z
_atom_site_occupancy
Pr1 0.250 0.250 0.247 1
Pr2 0.750 0.750 0.753 1
In1 0.250 0.250 0.864 1
In2 0.250 0.750 0.500 1
In3 0.750 0.250 0.500 1
In4 0.750 0.750 0.136 1
Cu1 0.250 0.250 0.633 1
Cu2 0.750 0.750 0.367 1
Pd1 0.250 0.750 0.000 1
Pd2 0.750 0.250 0.000 1
# - total magnetic moment (μB per cell) = 0.0
# - DFT total energy (eV per atom) = -4.268

=====

> The highest DFT total energy belongs to which entry?

In2CuPd